Entry 1:
Below is BaPd6 after structural relaxation, with properties calculated at the GGA-PBE level.

Unit cell a=6.0831 b=6.0831 c=6.0831 alpha=90.00 beta=90.00 gamma=90.00
Fractional positions:
1 Pd 0.5000 0.1966 0.5000
2 Pd 0.5000 0.8034 0.5000
3 Pd 0.5000 0.5000 0.8034
4 Pd 0.8034 0.5000 0.5000
5 Pd 0.5000 0.5000 0.1966
6 Pd 0.1966 0.5000 0.5000
7 Ba 0.0000 0.0000 0.0000

Computed properties:
- ΔH_f (0 K) (kJ/mol of atoms) = 54.0
- crystal system = cubic
- excess energy over the best structure of this formula in the dataset (eV/f.u.) = 5.226
- DFT total energy (eV per atom) = -4.166

Entry 2:
Below is Ba2Pd after structural relaxation, with properties calculated at the GGA-PBE level.

Unit cell a=4.7050 b=7.5494 c=7.7053 alpha=90.00 beta=90.00 gamma=90.00
Fractional positions:
1 Ba 0.0000 0.7287 0.3257
2 Ba 0.5000 0.7713 0.8257
3 Ba 0.5000 0.2287 0.1743
4 Ba 0.0000 0.2713 0.6743
5 Pd 0.0000 0.0000 0.0000
6 Pd 0.5000 0.5000 0.5000

Computed properties:
- ΔH_f (0 K) (kJ/mol of atoms) = -40.9
- crystal system = orthorhombic
- excess energy over the best structure of this formula in the dataset (eV/f.u.) = 0.000
- DFT total energy (eV per atom) = -3.437

Entry 3:
Below is Ba2Pd after structural relaxation, with properties calculated at the GGA-PBE level.

Unit cell a=6.4429 b=6.4429 c=8.1380 alpha=113.32 beta=113.32 gamma=90.00
Fractional positions:
1 Pd 0.5000 0.5000 0.0000
2 Pd 0.7500 0.2500 0.5000
3 Ba 0.9867 0.4867 0.9735
4 Ba 0.7367 0.7367 0.4735
5 Ba 0.2633 0.2633 0.5265
6 Ba 0.5133 0.0133 0.0265

Computed properties:
- ΔH_f (0 K) (kJ/mol of atoms) = -39.0
- crystal system = tetragonal
- excess energy over the best structure of this formula in the dataset (eV/f.u.) = 0.059
- DFT total energy (eV per atom) = -3.417

Entry 4:
Below is BaPd6 after structural relaxation, with properties calculated at the GGA-PBE level.

Unit cell a=5.5353 b=8.8053 c=10.9898 alpha=90.00 beta=90.00 gamma=90.00
Fractional positions:
1 Pd 0.2500 0.8959 0.5173
2 Pd 0.4947 0.9347 0.3053
3 Pd 0.2500 0.0709 0.9120
4 Pd 0.9947 0.0653 0.6947
5 Pd 0.9947 0.5653 0.8053
6 Pd 0.7500 0.1794 0.2362
7 Pd 0.7500 0.1041 0.4827
8 Pd 0.7500 0.9291 0.0880
9 Pd 0.2500 0.3206 0.7362
10 Pd 0.7500 0.8454 0.8448
11 Pd 0.2500 0.5709 0.5880
12 Pd 0.2500 0.1546 0.1552
13 Pd 0.2500 0.8206 0.7638
14 Pd 0.7500 0.4291 0.4120
15 Pd 0.2500 0.3959 0.9827
16 Pd 0.5053 0.0653 0.6947
17 Pd 0.7500 0.6041 0.0173
18 Pd 0.7500 0.6794 0.2638
19 Pd 0.7500 0.3454 0.6552
20 Pd 0.0053 0.9347 0.3053
21 Pd 0.4947 0.4347 0.1947
22 Pd 0.0053 0.4347 0.1947
23 Pd 0.5053 0.5653 0.8053
24 Pd 0.2500 0.6546 0.3448
25 Ba 0.7500 0.7393 0.5592
26 Ba 0.2500 0.2607 0.4408
27 Ba 0.2500 0.7607 0.0592
28 Ba 0.7500 0.2393 0.9408

Computed properties:
- ΔH_f (0 K) (kJ/mol of atoms) = -18.1
- crystal system = orthorhombic
- excess energy over the best structure of this formula in the dataset (eV/f.u.) = 0.000
- DFT total energy (eV per atom) = -4.913

Entry 5:
Below is Ba5Pd2 after structural relaxation, with properties calculated at the GGA-PBE level.

Unit cell a=7.5894 b=8.4682 c=10.2550 alpha=96.39 beta=111.72 gamma=90.00
Fractional positions:
1 Ba 0.8143 0.5880 0.8125
2 Ba 0.2111 0.6809 0.5762
3 Ba 0.3651 0.1809 0.5762
4 Ba 0.0018 0.9120 0.1875
5 Ba 0.4317 0.7500 0.0000
6 Ba 0.6349 0.8191 0.4238
7 Ba 0.7889 0.3191 0.4238
8 Ba 0.9982 0.0880 0.8125
9 Ba 0.1857 0.4120 0.1875
10 Ba 0.5683 0.2500 0.0000
11 Pd 0.4065 0.0820 0.2238
12 Pd 0.1827 0.4180 0.7762
13 Pd 0.5935 0.9180 0.7762
14 Pd 0.8173 0.5820 0.2238

Computed properties:
- ΔH_f (0 K) (kJ/mol of atoms) = -34.7
- crystal system = monoclinic
- DFT total energy (eV per atom) = -3.217

Entry 6:
Below is Ba3Pd2 after structural relaxation, with properties calculated at the GGA-PBE level.

Unit cell a=7.9484 b=7.9484 c=8.8166 alpha=63.21 beta=63.21 gamma=60.00
Fractional positions:
1 Pd 0.1635 0.1635 0.5096
2 Pd 0.3365 0.3365 0.9904
3 Pd 0.8365 0.8365 0.4904
4 Pd 0.6635 0.6635 0.0096
5 Ba 0.0727 0.7500 0.7500
6 Ba 0.5727 0.9273 0.2500
7 Ba 0.2500 0.5727 0.2500
8 Ba 0.7500 0.4273 0.7500
9 Ba 0.9273 0.2500 0.2500
10 Ba 0.4273 0.0727 0.7500

Computed properties:
- ΔH_f (0 K) (kJ/mol of atoms) = -41.9
- crystal system = trigonal
- excess energy over the best structure of this formula in the dataset (eV/f.u.) = 0.000
- DFT total energy (eV per atom) = -3.665

Entry 7:
Below is BaPd2 after structural relaxation, with properties calculated at the GGA-PBE level.

Unit cell a=5.7417 b=5.7417 c=5.7417 alpha=60.00 beta=60.00 gamma=60.00
Fractional positions:
1 Pd 0.1250 0.6250 0.1250
2 Pd 0.1250 0.1250 0.6250
3 Pd 0.1250 0.1250 0.1250
4 Pd 0.6250 0.1250 0.1250
5 Ba 0.5000 0.5000 0.5000
6 Ba 0.7500 0.7500 0.7500

Computed properties:
- ΔH_f (0 K) (kJ/mol of atoms) = -55.0
- crystal system = cubic
- DFT total energy (eV per atom) = -4.673

Entry 8:
Below is BaPd5 after structural relaxation, with properties calculated at the GGA-PBE level.

Unit cell a=4.5000 b=5.5528 c=7.8632 alpha=138.94 beta=90.01 gamma=90.00
Fractional positions:
1 Ba 0.0000 0.0000 0.0000
2 Pd 0.4998 0.7401 0.4856
3 Pd 0.5000 0.5000 0.0000
4 Pd 0.9999 0.2091 0.7361
5 Pd 0.0001 0.7909 0.2639
6 Pd 0.5002 0.2599 0.5144

Computed properties:
- ΔH_f (0 K) (kJ/mol of atoms) = -14.3
- crystal system = monoclinic
- DFT total energy (eV per atom) = -4.796

Entry 9:
Below is BaPmPd2 after structural relaxation, with properties calculated at the GGA-PBE level.

Unit cell a=5.2836 b=5.2836 c=5.2836 alpha=60.00 beta=60.00 gamma=60.00
Fractional positions:
1 Pd 0.7500 0.7500 0.7500
2 Pd 0.2500 0.2500 0.2500
3 Pm 0.0000 0.0000 0.0000
4 Ba 0.5000 0.5000 0.5000

Computed properties:
- ΔH_f (0 K) (kJ/mol of atoms) = -49.2
- crystal system = cubic
- excess energy over the best structure of this formula in the dataset (eV/f.u.) = 0.592
- DFT total energy (eV per atom) = -4.775

Entry 10:
Below is BaPmPd2 after structural relaxation, with properties calculated at the GGA-PBE level.

Unit cell a=4.2517 b=4.2517 c=8.0497 alpha=74.69 beta=74.69 gamma=60.00
Fractional positions:
1 Pd 0.0722 0.0722 0.7834
2 Pd 0.2630 0.2630 0.2110
3 Ba 0.4965 0.4965 0.5106
4 Pm 0.6683 0.6683 0.9950

Computed properties:
- ΔH_f (0 K) (kJ/mol of atoms) = -48.5
- crystal system = trigonal
- excess energy over the best structure of this formula in the dataset (eV/f.u.) = 0.624
- DFT total energy (eV per atom) = -4.767

Entry 11:
Below is BaPm2Pd after structural relaxation, with properties calculated at the GGA-PBE level.

Unit cell a=4.2541 b=4.2541 c=10.1777 alpha=77.94 beta=77.94 gamma=60.00
Fractional positions:
1 Pm 0.2821 0.2821 0.1536
2 Pm 0.7179 0.7179 0.8464
3 Pd 0.0000 0.0000 0.0000
4 Ba 0.5000 0.5000 0.5000

Computed properties:
- ΔH_f (0 K) (kJ/mol of atoms) = -24.6
- crystal system = trigonal
- excess energy over the best structure of this formula in the dataset (eV/f.u.) = 0.056
- DFT total energy (eV per atom) = -4.409

Entry 12:
Below is Ba2Pm2Pd15 after structural relaxation, with properties calculated at the GGA-PBE level.

Unit cell a=7.2583 b=7.2583 c=7.2583 alpha=81.97 beta=81.97 gamma=81.97
Fractional positions:
1 Pd 0.1542 0.6535 0.6535
2 Pd 0.6535 0.6535 0.1542
3 Pd 0.3465 0.3465 0.8458
4 Pd 0.7048 0.0000 0.2952
5 Pd 0.3465 0.8458 0.3465
6 Pd 0.0000 0.5000 0.0000
7 Pd 0.0000 0.7048 0.2952
8 Pd 0.2952 0.7048 0.0000
9 Pd 0.0000 0.0000 0.5000
10 Pd 0.0000 0.2952 0.7048
11 Pd 0.7048 0.2952 0.0000
12 Pd 0.5000 0.0000 0.0000
13 Pd 0.6535 0.1542 0.6535
14 Pd 0.2952 0.0000 0.7048
15 Pd 0.8458 0.3465 0.3465
16 Pm 0.1107 0.1107 0.1107
17 Pm 0.8893 0.8893 0.8893
18 Ba 0.6404 0.6404 0.6404
19 Ba 0.3596 0.3596 0.3596

Computed properties:
- ΔH_f (0 K) (kJ/mol of atoms) = -44.8
- crystal system = trigonal
- DFT total energy (eV per atom) = -5.266

Entry 13:
Below is BaPm2Pd after structural relaxation, with properties calculated at the GGA-PBE level.

Unit cell a=3.7104 b=3.7104 c=9.8761 alpha=90.00 beta=90.00 gamma=90.00
Fractional positions:
1 Ba 0.5000 0.5000 0.5000
2 Pm 0.0000 0.0000 0.1666
3 Pm 0.0000 0.0000 0.8334
4 Pd 0.5000 0.5000 0.0000

Computed properties:
- ΔH_f (0 K) (kJ/mol of atoms) = -25.7
- crystal system = tetragonal
- excess energy over the best structure of this formula in the dataset (eV/f.u.) = 0.009
- DFT total energy (eV per atom) = -4.421

Entry 14:
Below is BaPm4Pd5 after structural relaxation, with properties calculated at the GGA-PBE level.

Unit cell a=3.6435 b=3.6435 c=18.5176 alpha=90.00 beta=90.00 gamma=90.00
Fractional positions:
1 Pm 0.0000 0.0000 0.7900
2 Pm 0.0000 0.0000 0.5962
3 Pm 0.0000 0.0000 0.4038
4 Pm 0.0000 0.0000 0.2100
5 Pd 0.5000 0.5000 0.3088
6 Pd 0.5000 0.5000 0.5000
7 Pd 0.5000 0.5000 0.8721
8 Pd 0.5000 0.5000 0.1279
9 Pd 0.5000 0.5000 0.6912
10 Ba 0.0000 0.0000 0.0000

Computed properties:
- ΔH_f (0 K) (kJ/mol of atoms) = -69.1
- crystal system = tetragonal
- DFT total energy (eV per atom) = -5.405

Entry 15:
Below is BaPmPd2 after structural relaxation, with properties calculated at the GGA-PBE level.

Unit cell a=3.7253 b=3.7253 c=7.6464 alpha=90.00 beta=90.00 gamma=90.00
Fractional positions:
1 Pd 0.0000 0.0000 0.1998
2 Pd 0.0000 0.0000 0.8002
3 Ba 0.5000 0.5000 0.5000
4 Pm 0.5000 0.5000 0.0000

Computed properties:
- ΔH_f (0 K) (kJ/mol of atoms) = -63.5
- crystal system = tetragonal
- excess energy over the best structure of this formula in the dataset (eV/f.u.) = 0.000
- DFT total energy (eV per atom) = -4.923

Entry 16:
Below is BaPmPd2 after structural relaxation, with properties calculated at the GGA-PBE level.

Unit cell a=4.8499 b=4.8499 c=6.4130 alpha=67.78 beta=67.78 gamma=60.00
Fractional positions:
1 Pm 0.5000 0.5000 0.5000
2 Ba 0.0000 0.0000 0.0000
3 Pd 0.7858 0.7858 0.6427
4 Pd 0.2142 0.2142 0.3573

Computed properties:
- ΔH_f (0 K) (kJ/mol of atoms) = -53.4
- crystal system = trigonal
- excess energy over the best structure of this formula in the dataset (eV/f.u.) = 0.419
- DFT total energy (eV per atom) = -4.818

Entry 17:
Below is BaPm2Pd after structural relaxation, with properties calculated at the GGA-PBE level.

Unit cell a=4.2776 b=4.2776 c=10.0283 alpha=77.69 beta=77.69 gamma=60.00
Fractional positions:
1 Ba 0.5011 0.5011 0.4968
2 Pm 0.0510 0.0510 0.8469
3 Pm 0.2815 0.2815 0.1554
4 Pd 0.6664 0.6664 0.0009

Computed properties:
- ΔH_f (0 K) (kJ/mol of atoms) = -25.9
- crystal system = trigonal
- excess energy over the best structure of this formula in the dataset (eV/f.u.) = 0.000
- DFT total energy (eV per atom) = -4.423

Entry 18:
Below is BaPmPd10 after structural relaxation, with properties calculated at the GGA-PBE level.

Unit cell a=4.4814 b=5.4464 c=9.4698 alpha=90.00 beta=90.00 gamma=90.00
Fractional positions:
1 Pd 0.5000 0.0000 0.5000
2 Pd 0.0000 0.5000 0.1809
3 Pd 0.5000 0.7469 0.7420
4 Pd 0.5000 0.2531 0.2580
5 Pd 0.5000 0.7469 0.2580
6 Pd 0.5000 0.5000 0.0000
7 Pd 0.0000 0.0000 0.6569
8 Pd 0.0000 0.0000 0.3431
9 Pd 0.0000 0.5000 0.8191
10 Pd 0.5000 0.2531 0.7420
11 Ba 0.0000 0.0000 0.0000
12 Pm 0.0000 0.5000 0.5000

Computed properties:
- ΔH_f (0 K) (kJ/mol of atoms) = -40.9
- crystal system = orthorhombic
- DFT total energy (eV per atom) = -5.307

Entry 19:
Below is BaPmPdRh after structural relaxation, with properties calculated at the GGA-PBE level.

Unit cell a=5.2120 b=5.2120 c=5.2120 alpha=60.00 beta=60.00 gamma=60.00
Fractional positions:
1 Pm 0.5000 0.5000 0.5000
2 Rh 0.2500 0.2500 0.2500
3 Pd 0.7500 0.7500 0.7500
4 Ba 0.0000 0.0000 0.0000

Computed properties:
- ΔH_f (0 K) (kJ/mol of atoms) = -35.0
- crystal system = cubic
- DFT total energy (eV per atom) = -5.167

Entry 20:
Below is BaPm2PdS4 after structural relaxation, with properties calculated at the GGA-PBE level.

Unit cell a=4.1063 b=7.1513 c=14.0349 alpha=90.00 beta=90.00 gamma=106.68
Fractional positions:
1 Pm 0.6337 0.2673 0.4305
2 Pm 0.6337 0.2673 0.0695
3 Pm 0.3663 0.7327 0.5695
4 Pm 0.3663 0.7327 0.9305
5 S 0.2694 0.5388 0.3889
6 S 0.0000 0.0000 0.5000
7 S 0.5521 0.1041 0.2500
8 S 0.2694 0.5388 0.1111
9 S 0.7306 0.4612 0.6111
10 S 0.4479 0.8959 0.7500
11 S 0.0000 0.0000 0.0000
12 S 0.7306 0.4612 0.8889
13 Ba 0.8863 0.7725 0.2500
14 Ba 0.1137 0.2275 0.7500
15 Pd 0.8440 0.6880 0.7500
16 Pd 0.1560 0.3120 0.2500

Computed properties:
- formation energy (no corrections) (meV/atom) = -1846
- crystal system = orthorhombic
- DFT total energy (eV per atom) = -5.987